Arrangement A

DFT (meta-GGA SCAN) results for KCoMo2 at its PBEsol-relaxed geometry.

Calculated values
spin magnetization = 0.329 μB/atom
D(E_F) = 0.9802 states/eV/atom
mass density = 6.75 g cm⁻³

Unit cell a=2.8787 b=5.3691 c=9.2252 alpha=90.00 beta=90.00 gamma=90.00
Closest atoms and distances in Å follow each position.
Space group Imm2 (No. 44)
Symmetry-distinct sites (fractional):
K (0.0000, 0.0000, 0.0000) (multiplicity 2)  2 K 2.88, 2 Co 2.96, 6 Mo 3.05-3.10
Co (0.0000, 0.5000, 0.2191) (multiplicity 2)  2 Mo 2.40
Mo (0.0000, 0.0000, 0.5109) (multiplicity 2)  2 Co 2.40, 2 Mo 2.44
Mo (0.0000, 0.5000, 0.7974) (multiplicity 2)  2 Mo 2.44


Arrangement B

DFT (meta-GGA SCAN) results for KCoMo2 at its PBEsol-relaxed geometry.

Calculated values
spin magnetization = 0.357 μB/atom
D(E_F) = 0.9081 states/eV/atom
mass density = 7.27 g cm⁻³

Unit cell a=3.7143 b=3.7143 c=9.6007 alpha=90.00 beta=90.00 gamma=90.00
Closest atoms and distances in Å follow each position.
Space group I4/mmm (No. 139)
Symmetry-distinct sites (fractional):
K (0.0000, 0.0000, 0.0000) (multiplicity 2)  4 Co 2.63
Co (0.0000, 0.0000, 0.5000) (multiplicity 2)  4 K 2.63
Mo (0.0000, 0.5000, 0.2500) (multiplicity 4)  4 Mo 2.63


Arrangement C

DFT (meta-GGA SCAN) results for KCoMo2 at its PBEsol-relaxed geometry.

Calculated values
spin magnetization = 0.002 μB/atom
D(E_F) = 1.0596 states/eV/atom
mass density = 6.16 g cm⁻³

Unit cell a=2.6710 b=3.5515 c=8.2344 alpha=90.00 beta=90.00 gamma=90.00
Closest atoms and distances in Å follow each position.
Space group Pmm2 (No. 25)
Symmetry-distinct sites (fractional):
K (0.0000, 0.0000, 0.0000) (multiplicity 1)  2 K 2.67
Co (0.5000, 0.5000, 0.6841) (multiplicity 1)  5 Mo 2.44-2.62, 2 Co 2.67
Mo (0.0000, 0.0000, 0.5627) (multiplicity 1)  4 Co 2.44, 2 Mo 2.67
Mo (0.5000, 0.5000, 0.3660) (multiplicity 1)  1 Co 2.62, 6 Mo 2.67-2.75


Quick ranking, most stable first: arrangement C, arrangement A, arrangement B.